This record from Alexandria describes BaCaNi4O8 after structural relaxation. The functional is PBE+U.

The calculation puts the density at 4.580 Mg/m³. The value obtained for the total energy is -5.07 eV/atom.

The space group is P-31m (No. 162) and the conventional cell measures 5.3547, 5.3547 and 7.8877 Å, with angles of 90.00, 90.00 and 120.00 degrees. Symmetry generates all atoms from Ba at (0.0000, 0.0000, 0.0000), Ca at (0.0000, 0.0000, 0.5000), Ni at (0.3333, 0.6667, 0.2330), O at (0.0000, 0.3352, 0.3037) and O at (0.3333, 0.6667, 0.0000).